[1]
Below is a relaxed NaLiHfS2 crystal, with properties calculated at the GGA-PBE level.

Structure (POSCAR):
```
NaLiHfS2
1.0
4.959 0.000 0.000
0.000 4.959 0.000
0.000 0.000 4.945
Na Li Hf S
1 1 1 2
Cartesian
0.000 0.000 0.000
2.479 2.479 2.473
0.000 0.000 2.473
0.000 2.479 0.000
2.479 0.000 0.000
```

symmetry = P4/mmm, No. 123
size of the total moment = 1.47 μB per cell
energy relative to the elements, uncorrected = 856 meV/atom
E_tot = -17.16 eV/cell

[2]
Below is a relaxed Na2Li2HfS4 crystal, with properties calculated at the GGA-PBE level.

Structure (POSCAR):
```
Na2Li2HfS4
1.0
7.186 -1.895 0.000
7.186 1.895 0.000
-3.382 0.000 6.516
Na Li Hf S
2 2 1 4
Cartesian
2.051 0.000 0.249
8.940 0.000 6.267
2.843 0.000 3.440
8.148 0.000 3.076
-1.691 0.000 3.258
0.595 0.000 4.460
6.275 0.000 1.675
4.716 0.000 4.840
10.396 0.000 2.056
```

symmetry = C2/m, No. 12
size of the total moment = 0.00 μB per cell
energy relative to the elements, uncorrected = -1375 meV/atom
E_tot = -45.30 eV/cell

[3]
Below is a relaxed Na2LiHf2S6 crystal, with properties calculated at the GGA-PBE level.

Structure (POSCAR):
```
Na2LiHf2S6
1.0
3.173 -5.559 0.000
3.173 5.559 0.000
-2.041 0.000 6.842
Na Li Hf S
2 1 2 6
Cartesian
3.173 3.754 0.000
3.173 -3.754 0.000
-1.020 0.000 3.421
2.153 1.843 3.421
2.153 -1.843 3.421
0.080 1.948 4.884
1.180 0.000 1.963
0.080 -1.948 4.884
4.226 1.948 1.958
3.126 0.000 4.879
4.226 -1.948 1.958
```

symmetry = C2/m, No. 12
size of the total moment = 0.00 μB per cell
energy relative to the elements, uncorrected = -1353 meV/atom
E_tot = -64.10 eV/cell

[4]
Below is a relaxed NaLiHfSb2 crystal, with properties calculated at the GGA-PBE level.

Structure (POSCAR):
```
NaLiHfSb2
1.0
5.155 0.000 0.000
0.000 5.155 0.000
0.000 0.000 4.222
Na Li Hf Sb
1 1 1 2
Cartesian
0.000 0.000 0.000
0.000 0.000 2.111
2.578 2.578 0.000
0.000 2.578 2.111
2.578 0.000 2.111
```

symmetry = P4/mmm, No. 123
size of the total moment = 0.00 μB per cell
energy relative to the elements, uncorrected = 246 meV/atom
E_tot = -20.20 eV/cell

[5]
Below is a relaxed Na3LiHf2Se6 crystal, with properties calculated at the GGA-PBE level.

Structure (POSCAR):
```
Na3LiHf2Se6
1.0
3.415 -5.919 0.000
3.415 5.919 0.000
-2.286 0.000 6.935
Na Li Hf Se
3 1 2 6
Cartesian
0.000 0.000 0.000
3.415 1.922 0.000
3.415 -1.922 0.000
2.273 0.000 3.467
2.273 3.935 3.467
2.273 -3.935 3.467
1.084 2.059 1.954
-0.105 0.000 4.978
1.084 -2.059 1.954
3.462 2.059 4.980
4.650 0.000 1.957
3.462 -2.059 4.980
```

symmetry = C2/m, No. 12
size of the total moment = 0.00 μB per cell
energy relative to the elements, uncorrected = -1315 meV/atom
E_tot = -62.47 eV/cell

[6]
Below is a relaxed Na2Li2HfSe4 crystal, with properties calculated at the GGA-PBE level.

Structure (POSCAR):
```
Na2Li2HfSe4
1.0
7.516 -1.981 0.000
7.516 1.981 0.000
-3.485 0.000 6.822
Na Li Hf Se
2 2 1 4
Cartesian
2.147 0.000 0.252
9.400 0.000 6.569
2.994 0.000 3.584
8.553 0.000 3.238
-1.743 0.000 3.411
0.648 0.000 4.710
6.604 0.000 1.733
4.943 0.000 5.089
10.900 0.000 2.112
```

symmetry = C2/m, No. 12
size of the total moment = 0.00 μB per cell
energy relative to the elements, uncorrected = -1244 meV/atom
E_tot = -41.56 eV/cell

[7]
Below is a relaxed Na2LiHf2Se6 crystal, with properties calculated at the GGA-PBE level.

Structure (POSCAR):
```
Na2LiHf2Se6
1.0
3.310 -5.783 0.000
3.310 5.783 0.000
-2.168 0.000 7.202
Na Li Hf Se
2 1 2 6
Cartesian
3.310 3.891 0.000
3.310 -3.891 0.000
-1.084 0.000 3.601
2.226 1.926 3.601
2.226 -1.926 3.601
0.058 2.001 5.160
1.219 0.000 2.042
0.058 -2.001 5.160
4.394 2.001 2.042
3.233 0.000 5.160
4.394 -2.001 2.042
```

symmetry = C2/m, No. 12
size of the total moment = 0.00 μB per cell
energy relative to the elements, uncorrected = -1205 meV/atom
E_tot = -58.63 eV/cell

[8]
Below is a relaxed NaLiHfSe3 crystal, with properties calculated at the GGA-PBE level.

Structure (POSCAR):
```
NaLiHfSe3
1.0
7.477 0.000 0.000
0.000 3.908 0.000
-2.334 0.000 10.037
Na Li Hf Se
2 2 2 6
Cartesian
0.531 0.977 1.683
4.612 2.931 8.354
-0.144 2.931 5.656
5.286 0.977 4.381
0.828 0.977 8.270
4.315 2.931 1.767
-1.314 0.977 6.829
-0.171 2.931 9.969
2.038 2.931 6.947
3.105 0.977 3.090
5.314 0.977 0.068
6.457 2.931 3.208
```

symmetry = P2_1/m, No. 11
size of the total moment = 0.00 μB per cell
energy relative to the elements, uncorrected = -1299 meV/atom
E_tot = -62.87 eV/cell

[9]
Below is a relaxed Na4LiHf3Se8 crystal, with properties calculated at the GGA-PBE level.

Structure (POSCAR):
```
Na4LiHf3Se8
1.0
3.896 2.249 6.978
-3.896 2.249 6.978
0.000 -4.499 6.978
Na Li Hf Se
4 1 3 8
Cartesian
0.000 0.000 0.000
-1.948 -1.125 6.978
-1.948 1.125 13.956
0.000 2.249 6.978
0.000 0.000 10.467
-3.896 0.000 10.467
-1.948 1.125 3.489
1.948 1.125 3.489
-1.982 -1.144 11.981
0.000 0.000 5.043
0.000 -2.289 8.954
-1.982 1.144 8.954
1.982 -1.144 11.981
0.000 2.289 11.981
0.000 0.000 15.892
1.982 1.144 8.954
```

symmetry = R-3m, No. 166
size of the total moment = 0.00 μB per cell
energy relative to the elements, uncorrected = -1288 meV/atom
E_tot = -85.53 eV/cell

[10]
Below is a relaxed Na4LiHf3Te8 crystal, with properties calculated at the GGA-PBE level.

Structure (POSCAR):
```
Na4LiHf3Te8
1.0
4.181 2.414 7.567
-4.181 2.414 7.567
0.000 -4.828 7.567
Na Li Hf Te
4 1 3 8
Cartesian
0.000 0.000 0.000
-2.091 -1.207 7.567
-2.091 1.207 15.133
0.000 2.414 7.567
0.000 0.000 11.350
-4.181 0.000 11.350
-2.091 1.207 3.783
2.091 1.207 3.783
-2.116 -1.221 12.997
0.000 0.000 5.462
0.000 -2.443 9.703
-2.116 1.221 9.703
2.116 -1.221 12.997
0.000 2.443 12.997
0.000 0.000 17.237
2.116 1.221 9.703
```

symmetry = R-3m, No. 166
size of the total moment = 0.00 μB per cell
energy relative to the elements, uncorrected = -876 meV/atom
E_tot = -76.21 eV/cell

[11]
Below is a relaxed NaLiY2Hf crystal, with properties calculated at the GGA-PBE level.

Structure (POSCAR):
```
NaLiY2Hf
1.0
5.401 0.000 0.000
0.000 5.401 0.000
0.000 0.000 5.060
Na Li Y Hf
1 1 2 1
Cartesian
0.000 0.000 0.000
2.700 2.700 2.530
0.000 2.700 2.530
2.700 0.000 2.530
2.700 2.700 0.000
```

symmetry = P4/mmm, No. 123
size of the total moment = 1.90 μB per cell
E_tot = -22.17 eV/cell
formation energy from the elements = 18.17 kcal/mol of atoms

[12]
Below is a relaxed LiHfNb crystal, with properties calculated at the GGA-PBE level.

Structure (POSCAR):
```
LiHfNb
1.0
0.000 2.221 7.427
1.814 0.000 7.427
1.814 2.221 0.000
Li Hf Nb
1 1 1
Cartesian
0.000 0.000 0.000
1.814 2.221 4.761
1.814 2.221 9.936
```

symmetry = Fmm2, No. 42
size of the total moment = 0.00 μB per cell
E_tot = -21.19 eV/cell
formation energy from the elements = 5.72 kcal/mol of atoms
polymorph energy (0 for the lowest one) = 139.3 meV per atom

[13]
Below is a relaxed LiHfNb crystal, with properties calculated at the GGA-PBE level.

Structure (POSCAR):
```
LiHfNb
1.0
2.962 0.000 0.000
0.000 4.631 0.000
-0.519 0.000 8.688
Li Hf Nb
2 2 2
Cartesian
0.141 1.158 3.632
2.302 3.473 5.056
1.320 3.473 2.027
1.122 1.158 6.661
-0.171 3.473 8.009
2.613 1.158 0.679
```

symmetry = P2_1/m, No. 11
size of the total moment = 0.00 μB per cell
E_tot = -42.64 eV/cell
formation energy from the elements = 4.76 kcal/mol of atoms
polymorph energy (0 for the lowest one) = 97.4 meV per atom

[14]
Below is a relaxed Li4Hf2Nb crystal, with properties calculated at the GGA-PBE level.

Structure (POSCAR):
```
Li4Hf2Nb
1.0
-2.296 2.296 7.484
2.296 -2.296 7.484
2.296 2.296 -7.484
Li Hf Nb
4 2 1
Cartesian
2.296 0.000 0.000
0.000 0.000 2.804
0.000 2.296 0.000
0.000 0.000 12.164
0.000 0.000 6.040
0.000 0.000 8.927
0.000 0.000 0.000
```

symmetry = I4/mmm, No. 139
size of the total moment = 0.36 μB per cell
E_tot = -30.00 eV/cell
formation energy from the elements = 25.13 kcal/mol of atoms

[15]
Below is a relaxed Li2HfNb crystal, with properties calculated at the GGA-PBE level.

Structure (POSCAR):
```
Li2HfNb
1.0
-3.710 3.710 2.596
3.710 -3.710 2.596
3.710 3.710 -2.596
Li Hf Nb
4 2 2
Cartesian
1.855 1.816 -0.649
1.894 -1.855 3.245
1.855 1.894 1.947
1.816 5.565 0.649
3.710 0.000 1.298
0.000 0.000 2.596
0.000 0.000 0.000
0.000 3.710 1.298
```

symmetry = I-42d, No. 122
size of the total moment = 0.00 μB per cell
E_tot = -42.28 eV/cell
formation energy from the elements = 15.63 kcal/mol of atoms
polymorph energy (0 for the lowest one) = 186.6 meV per atom

[16]
Below is a relaxed LiHf2Nb crystal, with properties calculated at the GGA-PBE level.

Structure (POSCAR):
```
LiHf2Nb
1.0
-2.043 2.043 9.797
2.043 -2.043 9.797
2.043 2.043 -9.797
Li Hf Nb
2 4 2
Cartesian
0.000 0.000 0.000
0.000 2.043 4.899
1.021 -0.991 7.348
1.051 1.021 2.449
1.021 3.034 -2.449
0.991 1.021 12.247
2.043 0.000 4.899
0.000 0.000 9.797
```

symmetry = I-42d, No. 122
size of the total moment = 0.00 μB per cell
E_tot = -58.04 eV/cell
formation energy from the elements = 16.56 kcal/mol of atoms
polymorph energy (0 for the lowest one) = 537.8 meV per atom

[17]
Below is a relaxed LiHf3Nb crystal, with properties calculated at the GGA-PBE level.

Structure (POSCAR):
```
LiHf3Nb
1.0
5.142 0.000 0.000
0.000 5.142 0.000
0.000 0.000 5.142
Li Hf Nb
1 3 1
Cartesian
0.000 0.000 0.000
0.000 2.571 2.571
2.571 0.000 2.571
2.571 2.571 0.000
2.571 2.571 2.571
```

symmetry = Pm-3m, No. 221
size of the total moment = 0.00 μB per cell
E_tot = -36.87 eV/cell
formation energy from the elements = 22.94 kcal/mol of atoms
polymorph energy (0 for the lowest one) = 44.0 meV per atom

[18]
Below is a relaxed LiHfNb crystal, with properties calculated at the GGA-PBE level.

Structure (POSCAR):
```
LiHfNb
1.0
5.579 -1.606 0.000
5.579 1.606 0.000
-1.375 0.000 6.436
Li Hf Nb
2 2 2
Cartesian
1.957 0.000 0.587
7.827 0.000 5.849
5.199 0.000 1.641
4.585 0.000 4.795
1.100 0.000 3.628
8.684 0.000 2.808
```

symmetry = C2/m, No. 12
size of the total moment = 0.00 μB per cell
E_tot = -42.51 eV/cell
formation energy from the elements = 5.24 kcal/mol of atoms
polymorph energy (0 for the lowest one) = 118.1 meV per atom

[19]
Below is a relaxed LiHf2Nb crystal, with properties calculated at the GGA-PBE level.

Structure (POSCAR):
```
LiHf2Nb
1.0
3.416 0.000 0.000
0.000 3.416 0.000
0.000 0.000 6.822
Li Hf Nb
1 2 1
Cartesian
0.000 0.000 0.000
1.708 1.708 1.796
1.708 1.708 5.027
0.000 0.000 3.411
```

symmetry = P4/mmm, No. 123
size of the total moment = 0.00 μB per cell
E_tot = -31.17 eV/cell
formation energy from the elements = 4.16 kcal/mol of atoms
polymorph energy (0 for the lowest one) = 0.0 meV per atom

[20]
Below is a relaxed LiHfNb crystal, with properties calculated at the GGA-PBE level.

Structure (POSCAR):
```
LiHfNb
1.0
3.342 0.000 0.000
0.000 3.342 0.000
0.000 0.000 10.671
Li Hf Nb
2 2 2
Cartesian
0.836 0.836 0.751
2.507 2.507 9.920
0.836 0.836 7.832
2.507 2.507 2.839
0.836 0.836 4.544
2.507 2.507 6.127
```

symmetry = P4/nmm, No. 129
size of the total moment = 0.00 μB per cell
E_tot = -43.22 eV/cell
formation energy from the elements = 2.51 kcal/mol of atoms
polymorph energy (0 for the lowest one) = 0.0 meV per atom